Entry 1:
Density functional theory data (meta-GGA SCAN) for CoCuHg2 at its PBEsol-relaxed geometry.

As for the magnetic moment: 0.419 μB per atom. Its symmetry is Cmmm, No. 65. The formation energy comes out at 0.31 eV/atom. Its energy above the lowest structure with this stoichiometry is 0.0 kJ/mol of atoms.

a = 3.1454 Å, b = 4.4078 Å, c = 4.4078 Å
α = 89.93°, β = 90.00°, γ = 90.00°
Closest atoms and distances in Å follow each position.
Sites, in units of the cell vectors:
Co 0.5000 0.0000 0.0000  8 Hg 2.71
Cu 0.5000 0.5000 0.5000  8 Hg 2.71
Hg 0.0000 0.5000 0.0000  4 Cu 2.71, 4 Co 2.71
Hg 0.0000 0.0000 0.5000  4 Co 2.71, 4 Cu 2.71

---

Entry 2:
Density functional theory data (meta-GGA SCAN) for CoMoPt2 at its PBEsol-relaxed geometry.

As for the magnetic moment: 0.602 μB per atom. Its symmetry is P4/mmm, No. 123. The formation energy comes out at -0.29 eV/atom. Its energy above the lowest structure with this stoichiometry is 0.0 kJ/mol of atoms.

a = 2.6967 Å, b = 2.6967 Å, c = 7.6291 Å
α = 90.00°, β = 90.00°, γ = 90.00°
Closest atoms and distances in Å follow each position.
Sites, in units of the cell vectors:
Mo 0.5000 0.5000 0.5000  4 Mo 2.70, 8 Pt 2.75
Co 0.5000 0.5000 0.0000  8 Pt 2.64, 4 Co 2.70
Pt 0.0000 0.0000 0.7601  4 Co 2.64, 4 Pt 2.70, 4 Mo 2.75
Pt 0.0000 0.0000 0.2399  4 Co 2.64, 4 Pt 2.70, 4 Mo 2.75

---

- Which value of magnetic moment does entry 1 give?
  0.419 μB per atom

---

- Which formula does entry 1 have?
  CoCuHg2